Density functional theory data (PBE+U) for a relaxed structure of Na3Nd3VO8.

Calculated values
**Density of states at the Fermi level**: 0.00 states/eV per atom
**Magnetic moment**: 0.07 μB per atom
**ρ**: 4.88 g/cm3
**Symmetry**: C2/m
**Energy**: -6.831 eV per atom

Cell: 6.947 6.922 6.879 Å, 120.54 90.00 120.12°
Last column: magnetic moment on the atom in μB.
Sites, in units of the cell vectors:
1 Na 0.000 0.000 0.000  0.00
2 Na 0.000 0.500 0.000  0.00
3 Na 0.500 0.500 0.000  0.00
4 Nd 0.500 0.000 0.500  0.00
5 Nd 0.500 0.500 0.500  0.00
6 Nd 0.000 0.500 0.500  0.00
7 V 0.000 0.000 0.500  1.02
8 O 0.259 0.517 0.279  0.00
9 O 0.741 0.483 0.721  0.00
10 O 0.795 0.591 0.309  -0.02
11 O 0.205 0.409 0.691  -0.02
12 O 0.789 0.014 0.303  0.00
13 O 0.211 0.986 0.697  0.00
14 O 0.225 0.014 0.303  0.00
15 O 0.775 0.986 0.697  0.00